*1*
# Mg3Mn2 | Alexandria | PBE-GGA | relaxed
# Crystal system: orthorhombic
# N(E_F) in states/eV/f.u.: 3.7
data_Mg3Mn2
_symmetry_space_group_name_H-M 'F d d 2'
_symmetry_Int_Tables_number 43
_symmetry_space_group_name_Hall 'F 2 -2d'
_cell_length_a 9.7919
_cell_length_b 14.0116
_cell_length_c 5.3223
_cell_angle_alpha 90.00
_cell_angle_beta 90.00
_cell_angle_gamma 90.00
loop_
_atom_site_label
_atom_site_type_symbol
_atom_site_fract_x
_atom_site_fract_y
_atom_site_fract_z
Mg1 Mg 0.0000 0.0000 0.0000
Mg2 Mg 0.0379 0.3973 0.0058
Mn1 Mn 0.0192 0.2962 0.5400

*2*
# Mg3Mn2 | Alexandria | PBE-GGA | relaxed
# Crystal system: trigonal
# N(E_F) in states/eV/f.u.: 5.2
data_Mg3Mn2
_symmetry_space_group_name_H-M 'P -3 m 1'
_symmetry_Int_Tables_number 164
_symmetry_space_group_name_Hall '-P 3 2"'
_cell_length_a 4.5874
_cell_length_b 4.5874
_cell_length_c 5.6653
_cell_angle_alpha 90.00
_cell_angle_beta 90.00
_cell_angle_gamma 120.00
loop_
_atom_site_label
_atom_site_type_symbol
_atom_site_fract_x
_atom_site_fract_y
_atom_site_fract_z
Mg1 Mg 0.0000 0.0000 0.0000
Mg2 Mg 0.3333 0.6667 0.3532
Mn1 Mn 0.3333 0.6667 0.8741

Which structure wins on stability? *1* wins.

*1*
# Mg2MnMo | Alexandria | PBE-GGA | relaxed
# Crystal system: orthorhombic
# N(E_F) in states/eV/f.u.: 2.4
data_Mg2MnMo
_symmetry_space_group_name_H-M 'I m m 2'
_symmetry_Int_Tables_number 44
_symmetry_space_group_name_Hall 'I 2 -2'
_cell_length_a 3.1637
_cell_length_b 4.7489
_cell_length_c 8.9780
_cell_angle_alpha 90.00
_cell_angle_beta 90.00
_cell_angle_gamma 90.00
loop_
_atom_site_label
_atom_site_type_symbol
_atom_site_fract_x
_atom_site_fract_y
_atom_site_fract_z
Mg1 Mg 0.0000 0.0000 0.0000
Mg2 Mg 0.0000 0.5000 0.2224
Mn1 Mn 0.0000 0.0000 0.4659
Mo1 Mo 0.0000 0.5000 0.7808

*2*
# Mg2MnMo | Alexandria | PBE-GGA | relaxed
# Crystal system: orthorhombic
# N(E_F) in states/eV/f.u.: 2.5
data_Mg2MnMo
_symmetry_space_group_name_H-M 'I m m m'
_symmetry_Int_Tables_number 71
_symmetry_space_group_name_Hall '-I 2 2'
_cell_length_a 3.3667
_cell_length_b 4.2317
_cell_length_c 9.2433
_cell_angle_alpha 90.00
_cell_angle_beta 90.00
_cell_angle_gamma 90.00
loop_
_atom_site_label
_atom_site_type_symbol
_atom_site_fract_x
_atom_site_fract_y
_atom_site_fract_z
Mg1 Mg 0.0000 0.0000 0.2430
Mn1 Mn 0.0000 0.5000 0.5000
Mo1 Mo 0.0000 0.5000 0.0000

Which structure wins on stability? *1* wins.

*1*
# Mg2MnMo | Alexandria | PBE-GGA | relaxed
# Crystal system: cubic
# N(E_F) in states/eV/f.u.: 2.3
data_Mg2MnMo
_symmetry_space_group_name_H-M 'F -4 3 m'
_symmetry_Int_Tables_number 216
_symmetry_space_group_name_Hall 'F -4 2 3'
_cell_length_a 6.3418
_cell_length_b 6.3418
_cell_length_c 6.3418
_cell_angle_alpha 90.00
_cell_angle_beta 90.00
_cell_angle_gamma 90.00
loop_
_atom_site_label
_atom_site_type_symbol
_atom_site_fract_x
_atom_site_fract_y
_atom_site_fract_z
Mg1 Mg 0.0000 0.0000 0.0000
Mg2 Mg 0.2500 0.2500 0.2500
Mn1 Mn 0.2500 0.2500 0.7500
Mo1 Mo 0.0000 0.0000 0.5000

*2*
# Mg2MnMo | Alexandria | PBE-GGA | relaxed
# Crystal system: tetragonal
# N(E_F) in states/eV/f.u.: 2.6
data_Mg2MnMo
_symmetry_space_group_name_H-M 'P 4 m m'
_symmetry_Int_Tables_number 99
_symmetry_space_group_name_Hall 'P 4 -2'
_cell_length_a 2.7916
_cell_length_b 2.7916
_cell_length_c 8.9460
_cell_angle_alpha 90.00
_cell_angle_beta 90.00
_cell_angle_gamma 90.00
loop_
_atom_site_label
_atom_site_type_symbol
_atom_site_fract_x
_atom_site_fract_y
_atom_site_fract_z
Mg1 Mg 0.0000 0.0000 0.0000
Mg2 Mg 0.5000 0.5000 0.2925
Mn1 Mn 0.0000 0.0000 0.5331
Mo1 Mo 0.5000 0.5000 0.7510

Which structure wins on stability? *2* wins.